Record 1
Material: RbYReGe2
Method: DFT, PBE
State: relaxed

- ΔE_f (eV/atom) = 2.130

CIF file:
```
data_RbYReGe2
_chemical_formula_sum 'Rb1 Y1 Re1 Ge2'
_cell_length_a 5.2544
_cell_length_b 5.2544
_cell_length_c 4.9737
_cell_angle_alpha 90.00
_cell_angle_beta 90.00
_cell_angle_gamma 90.00
_space_group_name_H-M_alt 'P 4/m m m'
_space_group_IT_number 123
_space_group_name_Hall '-P 4 2'
loop_
_atom_site_label
_atom_site_fract_x
_atom_site_fract_y
_atom_site_fract_z
_atom_site_occupancy
Rb1 0.0000 0.0000 0.0000 1
Y1 0.5000 0.5000 0.5000 1
Re1 0.0000 0.0000 0.5000 1
Ge1 0.0000 0.5000 0.0000 1
```

Record 2
Material: RbZnReGe2
Method: DFT, PBE
State: relaxed

- ΔE_f (eV/atom) = 0.037

CIF file:
```
data_RbZnReGe2
_chemical_formula_sum 'Rb1 Zn1 Re1 Ge2'
_cell_length_a 4.8541
_cell_length_b 4.8541
_cell_length_c 5.1540
_cell_angle_alpha 90.00
_cell_angle_beta 90.00
_cell_angle_gamma 90.00
_space_group_name_H-M_alt 'P 4/m m m'
_space_group_IT_number 123
_space_group_name_Hall '-P 4 2'
loop_
_atom_site_label
_atom_site_fract_x
_atom_site_fract_y
_atom_site_fract_z
_atom_site_occupancy
Rb1 0.0000 0.0000 0.0000 1
Zn1 0.5000 0.5000 0.0000 1
Re1 0.5000 0.5000 0.5000 1
Ge1 0.0000 0.5000 0.5000 1
```

Record 3
Material: RbGeRh3
Method: DFT, PBE
State: relaxed

- ΔE_f (eV/atom) = 2.215
- energy relative to the lowest polymorph listed for this composition (meV/atom) = 1712

CIF file:
```
data_RbGeRh3
_chemical_formula_sum 'Rb1 Ge1 Rh3'
_cell_length_a 4.8473
_cell_length_b 4.8473
_cell_length_c 4.8473
_cell_angle_alpha 90.00
_cell_angle_beta 90.00
_cell_angle_gamma 90.00
_space_group_name_H-M_alt 'P m -3 m'
_space_group_IT_number 221
_space_group_name_Hall '-P 4 2 3'
loop_
_atom_site_label
_atom_site_fract_x
_atom_site_fract_y
_atom_site_fract_z
_atom_site_occupancy
Rb1 0.0000 0.0000 0.0000 1
Ge1 0.5000 0.5000 0.5000 1
Rh1 0.0000 0.0000 0.5000 1
```

Record 4
Material: Rb2Ge2Rh
Method: DFT, PBE
State: relaxed

- ΔE_f (eV/atom) = 0.020

CIF file:
```
data_Rb2Ge2Rh
_chemical_formula_sum 'Rb4 Ge4 Rh2'
_cell_length_a 6.5911
_cell_length_b 6.5911
_cell_length_c 5.9935
_cell_angle_alpha 90.00
_cell_angle_beta 90.00
_cell_angle_gamma 90.00
_space_group_name_H-M_alt 'P 4/m b m'
_space_group_IT_number 127
_space_group_name_Hall '-P 4 2ab'
loop_
_atom_site_label
_atom_site_fract_x
_atom_site_fract_y
_atom_site_fract_z
_atom_site_occupancy
Rb1 0.1829 0.3171 0.0000 1
Ge1 0.1435 0.6435 0.5000 1
Rh1 0.0000 0.0000 0.5000 1
```

Record 5
Material: RbGe3Rh
Method: DFT, PBE
State: relaxed

- ΔE_f (eV/atom) = 2.219

CIF file:
```
data_RbGe3Rh
_chemical_formula_sum 'Rb1 Ge3 Rh1'
_cell_length_a 5.3784
_cell_length_b 5.3784
_cell_length_c 5.3784
_cell_angle_alpha 90.00
_cell_angle_beta 90.00
_cell_angle_gamma 90.00
_space_group_name_H-M_alt 'P m -3 m'
_space_group_IT_number 221
_space_group_name_Hall '-P 4 2 3'
loop_
_atom_site_label
_atom_site_fract_x
_atom_site_fract_y
_atom_site_fract_z
_atom_site_occupancy
Rb1 0.0000 0.0000 0.0000 1
Ge1 0.0000 0.0000 0.5000 1
Rh1 0.5000 0.5000 0.5000 1
```

Record 6
Material: RbGeRh
Method: DFT, PBE
State: relaxed

- ΔE_f (eV/atom) = -0.394

CIF file:
```
data_RbGeRh
_chemical_formula_sum 'Rb2 Ge2 Rh2'
_cell_length_a 4.2372
_cell_length_b 4.2372
_cell_length_c 10.3995
_cell_angle_alpha 90.00
_cell_angle_beta 90.00
_cell_angle_gamma 90.00
_space_group_name_H-M_alt 'P 4/n m m'
_space_group_IT_number 129
loop_
_space_group_symop_operation_xyz
'x,y,z'
'-x,-y,-z'
'-y+1/2,x,z'
'y+1/2,-x,-z'
'-x+1/2,-y+1/2,z'
'x+1/2,y+1/2,-z'
'y,-x+1/2,z'
'-y,x+1/2,-z'
'x+1/2,-y,-z'
'-x+1/2,y,z'
'-y,-x,-z'
'y,x,z'
'-x,y+1/2,-z'
'x,-y+1/2,z'
'y+1/2,x+1/2,-z'
'-y+1/2,-x+1/2,z'
loop_
_atom_site_label
_atom_site_fract_x
_atom_site_fract_y
_atom_site_fract_z
_atom_site_occupancy
Rb1 0.2500 0.2500 0.2028 1
Ge1 0.2500 0.2500 0.6205 1
Rh1 0.2500 0.7500 0.5000 1
```

Record 7
Material: RbGeRh3
Method: DFT, PBE
State: relaxed

- ΔE_f (eV/atom) = 0.503
- energy relative to the lowest polymorph listed for this composition (meV/atom) = 0

CIF file:
```
data_RbGeRh3
_chemical_formula_sum 'Rb1 Ge1 Rh3'
_cell_length_a 4.7402
_cell_length_b 4.7402
_cell_length_c 4.7402
_cell_angle_alpha 90.00
_cell_angle_beta 90.00
_cell_angle_gamma 90.00
_space_group_name_H-M_alt 'P m -3 m'
_space_group_IT_number 221
_space_group_name_Hall '-P 4 2 3'
loop_
_atom_site_label
_atom_site_fract_x
_atom_site_fract_y
_atom_site_fract_z
_atom_site_occupancy
Rb1 0.0000 0.0000 0.0000 1
Ge1 0.5000 0.5000 0.5000 1
Rh1 0.0000 0.5000 0.5000 1
```

Record 8
Material: RbGeSbRh2
Method: DFT, PBE
State: relaxed

CIF file:
```
data_RbGeSbRh2
_chemical_formula_sum 'Rb1 Ge1 Sb1 Rh2'
_cell_length_a 4.8207
_cell_length_b 4.8207
_cell_length_c 6.0646
_cell_angle_alpha 90.00
_cell_angle_beta 90.00
_cell_angle_gamma 90.00
_space_group_name_H-M_alt 'P 4/m m m'
_space_group_IT_number 123
_space_group_name_Hall '-P 4 2'
loop_
_atom_site_label
_atom_site_fract_x
_atom_site_fract_y
_atom_site_fract_z
_atom_site_occupancy
Rb1 0.0000 0.0000 0.0000 1
Ge1 0.5000 0.5000 0.5000 1
Sb1 0.0000 0.0000 0.5000 1
Rh1 0.0000 0.5000 0.0000 1
```

no.,final energy (eV per atom)
1,-3.692
2,-4.748
3,-3.313
4,-3.684
5,-2.215
6,-4.706
7,-5.024
8,-2.860